{"formula": "RbPuCoF6", "functional": "PBE+U", "state": "optimized geometry", "lattice": [[-3.370, 6.957, 1.247], [-0.434, -1.519, 7.299], [6.594, -0.576, -3.548]], "species": ["F", "F", "F", "F", "F", "F", "F", "F", "F", "F", "F", "F", "Co", "Co", "Pu", "Pu", "Rb", "Rb"], "frac_coords": [[0.445, 0.154, 0.268], [0.555, 0.386, 0.732], [0.823, 0.154, 0.268], [0.823, 0.614, 0.268], [0.445, 0.614, 0.268], [0.869, 0.119, 0.738], [0.177, 0.846, 0.732], [0.555, 0.846, 0.732], [0.410, 0.160, 0.819], [0.590, 0.840, 0.181], [0.131, 0.881, 0.262], [0.177, 0.386, 0.732], [0.500, 0.000, 0.000], [0.500, 0.500, 0.000], [0.500, 0.000, 0.500], [0.000, 0.000, 0.500], [0.163, 0.413, 0.326], [0.837, 0.587, 0.674]], "dos_at_fermi_per_ev_fu": 5.050, "dft_energy_ev_per_atom": -6.442, "magnetic_moment_mub_per_fu": 8.00}